Entry 1:
Tm2InBi: optimized geometry, GGA-PBE.

Summary:
- N(E_F) (states/eV/f.u.) = 1.6

Lattice parameters (Å, degrees): 4.1488 4.1488 24.2578 90.00 90.00 120.00
Closest atoms and distances in Å follow each position.
Positions (direct):
Tm 0.0000 0.0000 0.2457  3 Bi 3.07, 3 In 3.20
Tm 0.0000 0.0000 0.7543  3 Bi 3.07, 3 In 3.20
Tm 0.3333 0.6667 0.4210  3 Bi 3.07, 3 In 3.20
Tm 0.3333 0.6667 0.9123  3 Bi 3.07, 3 In 3.20
Tm 0.6667 0.3333 0.0877  3 Bi 3.07, 3 In 3.20
Tm 0.6667 0.3333 0.5790  3 Bi 3.07, 3 In 3.20
In 0.0000 0.0000 0.0000  6 Tm 3.20
In 0.3333 0.6667 0.6667  6 Tm 3.20
In 0.6667 0.3333 0.3333  6 Tm 3.20
Bi 0.0000 0.0000 0.5000  6 Tm 3.07
Bi 0.3333 0.6667 0.1667  6 Tm 3.07
Bi 0.6667 0.3333 0.8333  6 Tm 3.07

Entry 2:
Tm2InBi: optimized geometry, GGA-PBE.

Summary:
- N(E_F) (states/eV/f.u.) = 3.5

Lattice parameters (Å, degrees): 7.6002 7.6002 7.6002 90.00 90.00 90.00
Closest atoms and distances in Å follow each position.
Positions (direct):
Tm 0.2500 0.2500 0.2500  4 In 3.29, 4 Bi 3.29
Tm 0.2500 0.2500 0.7500  4 In 3.29, 4 Bi 3.29
Tm 0.2500 0.7500 0.2500  4 In 3.29, 4 Bi 3.29
Tm 0.2500 0.7500 0.7500  4 In 3.29, 4 Bi 3.29
Tm 0.7500 0.2500 0.2500  4 In 3.29, 4 Bi 3.29
Tm 0.7500 0.2500 0.7500  4 In 3.29, 4 Bi 3.29
Tm 0.7500 0.7500 0.2500  4 In 3.29, 4 Bi 3.29
Tm 0.7500 0.7500 0.7500  4 In 3.29, 4 Bi 3.29
In 0.0000 0.0000 0.0000  8 Tm 3.29
In 0.0000 0.5000 0.5000  8 Tm 3.29
In 0.5000 0.0000 0.5000  8 Tm 3.29
In 0.5000 0.5000 0.0000  8 Tm 3.29
Bi 0.0000 0.0000 0.5000  8 Tm 3.29
Bi 0.0000 0.5000 0.0000  8 Tm 3.29
Bi 0.5000 0.0000 0.0000  8 Tm 3.29
Bi 0.5000 0.5000 0.5000  8 Tm 3.29

Entry 3:
Tm12In3Bi: optimized geometry, GGA-PBE.

Summary:
- N(E_F) (states/eV/f.u.) = 18.3

Lattice parameters (Å, degrees): 4.7878 4.7878 19.1441 90.00 90.00 90.00
Closest atoms and distances in Å follow each position.
Positions (direct):
Tm 0.0000 0.0000 0.0000  8 Tm 3.38, 4 In 3.39
Tm 0.0000 0.0000 0.2500  8 Tm 3.36-3.39, 4 In 3.39
Tm 0.0000 0.0000 0.5000  4 Bi 3.39, 8 Tm 3.41
Tm 0.0000 0.0000 0.7500  8 Tm 3.36-3.39, 4 In 3.39
Tm 0.0000 0.5000 0.1249  4 In 3.36-3.38, 8 Tm 3.38-3.39
Tm 0.0000 0.5000 0.3734  8 Tm 3.36-3.41, 2 In 3.39, 2 Bi 3.41
Tm 0.0000 0.5000 0.6266  8 Tm 3.36-3.41, 2 In 3.39, 2 Bi 3.41
Tm 0.0000 0.5000 0.8751  4 In 3.36-3.38, 8 Tm 3.38-3.39
Tm 0.5000 0.0000 0.1249  4 In 3.36-3.38, 8 Tm 3.38-3.39
Tm 0.5000 0.0000 0.3734  8 Tm 3.36-3.41, 2 In 3.39, 2 Bi 3.41
Tm 0.5000 0.0000 0.6266  8 Tm 3.36-3.41, 2 In 3.39, 2 Bi 3.41
Tm 0.5000 0.0000 0.8751  4 In 3.36-3.38, 8 Tm 3.38-3.39
In 0.5000 0.5000 0.0000  12 Tm 3.38-3.39
In 0.5000 0.5000 0.2479  12 Tm 3.36-3.39
In 0.5000 0.5000 0.7521  12 Tm 3.36-3.39
Bi 0.5000 0.5000 0.5000  12 Tm 3.39-3.41

The records above yield formation enthalpy at 0 K values of -431 -389 -265 meV per atom, respectively.